(1)
Here is a relaxed BSBr3 crystal from the Alexandria database. Energies are from GGA-PBE.

Cell lengths 4.7809, 4.7809, 4.7809 Å; angles 90.00, 90.00, 90.00 degrees
Closest atoms and distances in Å follow each position.
Fractional positions:
1 S 0.5000 0.5000 0.5000  12 Br 3.38
2 Br 0.5000 0.0000 0.0000  2 B 2.39
3 B 0.0000 0.0000 0.0000  6 Br 2.39
4 Br 0.0000 0.5000 0.0000  2 B 2.39
5 Br 0.0000 0.0000 0.5000  2 B 2.39

## Properties
total magnetization	0.49	μB per atom
formation energy (no corrections)	0.94	eV per atom
energy above the lowest structure with this stoichiometry	0	meV per atom
calculated volume	21.86	Å³ per atom

(2)
Here is a relaxed Sm3ZnB2Pt9 crystal from the Alexandria database. Energies are from GGA-PBE.

Cell lengths 5.7657, 5.7657, 9.3143 Å; angles 90.00, 90.00, 120.00 degrees
Closest atoms and distances in Å follow each position.
Fractional positions:
1 Pt 0.1651 0.3302 0.2873  1 B 2.11
2 Pt 0.0000 0.5000 0.0000  2 B 2.18
3 Pt 0.3302 0.1651 0.7127  1 B 2.11
4 Pt 0.8349 0.6698 0.7127  1 B 2.11
5 Sm 0.3333 0.6667 0.6076  6 Pt 3.04
6 B 0.6667 0.3333 0.8495  6 Pt 2.11-2.18
7 B 0.3333 0.6667 0.1505  6 Pt 2.11-2.18
8 Pt 0.8349 0.1651 0.7127  1 B 2.11
9 Pt 0.5000 0.0000 0.0000  2 B 2.18
10 Pt 0.6698 0.8349 0.2873  1 B 2.11
11 Pt 0.1651 0.8349 0.2873  1 B 2.11
12 Sm 0.6667 0.3333 0.3924  6 Pt 3.04
13 Pt 0.5000 0.5000 0.0000  2 B 2.18
14 Zn 0.0000 0.0000 0.5000  6 Pt 2.58
15 Sm 0.0000 0.0000 0.0000  12 Pt 2.88-3.14

## Properties
total magnetization	0.00	μB per atom
DFT total energy	-6.371	eV/atom
calculated volume	17.88	Å³ per atom

(3)
Here is a relaxed TbSm2Ru crystal from the Alexandria database. Energies are from GGA-PBE.

Cell lengths 3.4833, 3.4833, 9.1309 Å; angles 90.00, 90.00, 90.00 degrees
Closest atoms and distances in Å follow each position.
Fractional positions:
1 Ru 0.5000 0.5000 0.0000  8 Sm 2.99
2 Sm 0.0000 0.0000 0.8143  4 Ru 2.99
3 Tb 0.5000 0.5000 0.5000  4 Tb 3.48, 8 Sm 3.78
4 Sm 0.0000 0.0000 0.1857  4 Ru 2.99

## Properties
total magnetization	0.00	μB per atom
energy above the lowest structure with this stoichiometry	165	meV per atom
calculated volume	27.70	Å³ per atom

(4)
Here is a relaxed La7Nd2Sm3 crystal from the Alexandria database. Energies are from GGA-PBE.

Cell lengths 3.6619, 6.0601, 19.5055 Å; angles 93.61, 90.00, 90.00 degrees
Closest atoms and distances in Å follow each position.
Fractional positions:
1 Sm 0.5000 0.5000 0.0000  8 La 3.48-3.54, 2 Sm 3.66
2 La 0.5000 0.7427 0.4657  1 Nd 3.27, 4 La 3.31-3.66
3 La 0.5000 0.1758 0.1805  6 La 3.58-3.66, 2 Nd 3.77-3.81
4 La 0.5000 0.2573 0.5343  1 Nd 3.27, 4 La 3.31-3.66
5 Sm 0.0000 0.2157 0.3654  2 Sm 3.66, 8 La 3.76-4.07, 4 Nd 3.77-3.79
6 Nd 0.5000 0.2961 0.7023  3 La 3.27-3.49, 2 Nd 3.66
7 La 0.0000 0.0000 0.0000  4 Sm 3.54, 4 La 3.55-3.66
8 Sm 0.0000 0.7843 0.6346  2 Sm 3.66, 8 La 3.76-4.07, 4 Nd 3.77-3.79
9 La 0.0000 0.6734 0.1451  2 Sm 3.48, 2 Nd 3.49, 7 La 3.55-3.66
10 Nd 0.5000 0.7039 0.2977  3 La 3.27-3.49, 2 Nd 3.66
11 La 0.5000 0.8242 0.8195  6 La 3.58-3.66, 2 Nd 3.77-3.81
12 La 0.0000 0.3266 0.8549  2 Sm 3.48, 2 Nd 3.49, 7 La 3.55-3.66

## Properties
total magnetization	0.00	μB per atom
energy above the lowest structure with this stoichiometry	21	meV per atom
calculated volume	36.00	Å³ per atom

(5)
Here is a relaxed USi3Ni9 crystal from the Alexandria database. Energies are from GGA-PBE.

Cell lengths 4.8117, 6.0645, 6.2576 Å; angles 82.00, 67.39, 68.78 degrees
Closest atoms and distances in Å follow each position.
Fractional positions:
1 Ni 0.3326 0.6614 0.6501  3 Si 2.41-2.57, 6 Ni 2.48-2.61
2 Ni 0.0000 0.5000 0.0000  2 Si 2.41, 8 Ni 2.42-2.48
3 Ni 0.7127 0.7804 0.7775  3 Si 2.32-2.36, 5 Ni 2.42-2.60
4 U 0.0000 0.0000 0.0000  14 Ni 2.78-3.03, 2 Si 3.11
5 Ni 0.0173 0.3386 0.6501  3 Si 2.41-2.57, 6 Ni 2.48-2.61
6 Si 0.0000 0.0000 0.5000  8 Ni 2.35-2.43, 2 Si 2.41
7 Ni 0.6674 0.3386 0.3499  3 Si 2.41-2.57, 6 Ni 2.48-2.61
8 Si 0.5000 0.0000 0.5000  8 Ni 2.35-2.43, 2 Si 2.41
9 Ni 0.4902 0.7804 0.2225  3 Si 2.32-2.36, 5 Ni 2.42-2.60
10 Ni 0.2873 0.2196 0.2225  3 Si 2.32-2.36, 5 Ni 2.42-2.60
11 Ni 0.9827 0.6614 0.3499  3 Si 2.41-2.57, 6 Ni 2.48-2.61
12 Si 0.5000 0.5000 0.0000  10 Ni 2.32-2.57
13 Ni 0.5098 0.2196 0.7775  3 Si 2.32-2.36, 5 Ni 2.42-2.60

## Properties
total magnetization	0.08	μB per atom
formation energy (no corrections)	-0.42	eV per atom
calculated volume	12.09	Å³ per atom

(6)
Here is a relaxed VNi7As2 crystal from the Alexandria database. Energies are from GGA-PBE.

Cell lengths 3.6117, 3.6117, 10.0712 Å; angles 100.33, 100.33, 90.00 degrees
Closest atoms and distances in Å follow each position.
Fractional positions:
1 As 0.6707 0.6707 0.3413  8 Ni 2.38-2.40
2 Ni 0.5899 0.0899 0.1798  2 As 2.40, 2 V 2.52, 6 Ni 2.52-2.55
3 As 0.3293 0.3293 0.6587  8 Ni 2.38-2.40
4 Ni 0.5000 0.5000 0.0000  8 Ni 2.52, 4 V 2.55
5 Ni 0.7500 0.2500 0.5000  4 As 2.38, 4 Ni 2.55
6 Ni 0.9101 0.4101 0.8202  2 As 2.40, 6 Ni 2.52-2.55, 2 V 2.52
7 V 0.0000 0.0000 0.0000  12 Ni 2.52-2.55
8 Ni 0.2500 0.7500 0.5000  4 As 2.38, 4 Ni 2.55
9 Ni 0.0899 0.5899 0.1798  2 As 2.40, 6 Ni 2.52-2.55, 2 V 2.52
10 Ni 0.4101 0.9101 0.8202  2 As 2.40, 2 V 2.52, 6 Ni 2.52-2.55

## Properties
total magnetization	0.06	μB per atom
DFT total energy	-6.085	eV/atom
calculated volume	12.71	Å³ per atom

(7)
Here is a relaxed GeHN2F crystal from the Alexandria database. Energies are from GGA-PBE.

Cell lengths 3.9187, 3.4335, 3.9187 Å; angles 90.00, 90.00, 90.00 degrees
Closest atoms and distances in Å follow each position.
Fractional positions:
1 N 0.5000 0.0000 0.0000  2 Ge 1.96
2 Ge 0.0000 0.0000 0.0000  2 H 1.72
3 F 0.5000 0.5000 0.5000  8 N 2.61, 4 H 2.77
4 N 0.0000 0.0000 0.5000  2 Ge 1.96
5 H 0.0000 0.5000 0.0000  2 Ge 1.72

## Properties
total magnetization	0.80	μB per atom
energy above the lowest structure with this stoichiometry	62	meV per atom
calculated volume	10.54	Å³ per atom

(8)
Here is a relaxed ScAg3 crystal from the Alexandria database. Energies are from GGA-PBE.

Cell lengths 5.4575, 5.4575, 5.4575 Å; angles 90.00, 90.00, 90.00 degrees
Closest atoms and distances in Å follow each position.
Fractional positions:
1 Ag 0.0000 0.0000 0.5000  2 Sc 2.73
2 Sc 0.0000 0.0000 0.0000  6 Ag 2.73
3 Ag 0.5000 0.0000 0.0000  2 Sc 2.73
4 Ag 0.0000 0.5000 0.0000  2 Sc 2.73

## Properties
total magnetization	0.00	μB per atom
DFT total energy	-2.620	eV/atom
calculated volume	40.64	Å³ per atom

(9)
Here is a relaxed Li4BiPb3 crystal from the Alexandria database. Energies are from GGA-PBE.

Cell lengths 3.5226, 3.5226, 14.7476 Å; angles 90.00, 90.00, 90.00 degrees
Closest atoms and distances in Å follow each position.
Fractional positions:
1 Li 0.0000 0.0000 0.8687  4 Pb 3.10, 4 Bi 3.15
2 Pb 0.5000 0.5000 0.7438  8 Li 3.08-3.10
3 Li 0.0000 0.0000 0.6206  8 Pb 3.06-3.08
4 Pb 0.5000 0.5000 0.2562  8 Li 3.08-3.10
5 Bi 0.5000 0.5000 0.0000  8 Li 3.15, 4 Bi 3.52
6 Pb 0.5000 0.5000 0.5000  8 Li 3.06
7 Li 0.0000 0.0000 0.3794  8 Pb 3.06-3.08
8 Li 0.0000 0.0000 0.1313  4 Pb 3.10, 4 Bi 3.15

## Properties
total magnetization	0.00	μB per atom
DFT total energy	-3.123	eV/atom
calculated volume	22.87	Å³ per atom

(10)
Here is a relaxed HoURe4 crystal from the Alexandria database. Energies are from GGA-PBE.

Cell lengths 5.4074, 5.4074, 5.4074 Å; angles 60.00, 60.00, 60.00 degrees
Closest atoms and distances in Å follow each position.
Fractional positions:
1 Re 0.1261 0.6246 0.6246  6 Re 2.70-2.71
2 U 0.0000 0.0000 0.0000  12 Re 3.17, 4 Ho 3.31
3 Re 0.6246 0.6246 0.6246  6 Re 2.70-2.71
4 Re 0.6246 0.1261 0.6246  6 Re 2.70-2.71
5 Re 0.6246 0.6246 0.1261  6 Re 2.70-2.71
6 Ho 0.2500 0.2500 0.2500  12 Re 3.17, 4 U 3.31

## Properties
total magnetization	0.39	μB per atom
DFT total energy	-10.949	eV/atom
calculated volume	18.63	Å³ per atom

(11)
Here is a relaxed PaBeAs2 crystal from the Alexandria database. Energies are from GGA-PBE.

Cell lengths 4.3269, 4.3269, 7.5609 Å; angles 73.37, 73.37, 60.00 degrees
Closest atoms and distances in Å follow each position.
Fractional positions:
1 Pa 0.5000 0.5000 0.5000  6 As 2.91
2 As 0.0973 0.0973 0.7080  1 Be 2.08
3 Be 0.0000 0.0000 0.0000  2 As 2.08
4 As 0.9027 0.9027 0.2920  1 Be 2.08

## Properties
total magnetization	0.26	μB per atom
DFT total energy	-5.764	eV/atom
calculated volume	28.93	Å³ per atom

(12)
Here is a relaxed Dy2HoTm3Te6 crystal from the Alexandria database. Energies are from GGA-PBE.

Cell lengths 4.3018, 8.6933, 9.6891 Å; angles 103.68, 102.83, 90.00 degrees
Closest atoms and distances in Å follow each position.
Fractional positions:
1 Te 0.3329 0.9198 0.6658  3 Tm 3.03-3.04, 1 Ho 3.06, 2 Dy 3.08
2 Te 0.3348 0.4140 0.6696  3 Tm 3.03, 3 Dy 3.07-3.08
3 Te 0.6671 0.0802 0.3342  3 Tm 3.03-3.04, 1 Ho 3.06, 2 Dy 3.08
4 Te 0.6652 0.5860 0.3304  3 Tm 3.03, 3 Dy 3.07-3.08
5 Dy 0.8327 0.6658 0.6653  6 Te 3.07-3.09
6 Tm 0.8326 0.1668 0.6652  6 Te 3.03-3.05
7 Te 0.9988 0.2515 0.9977  3 Tm 3.04-3.05, 2 Ho 3.07, 1 Dy 3.09
8 Dy 0.1673 0.3342 0.3347  6 Te 3.07-3.09
9 Ho 0.5000 0.0000 0.0000  6 Te 3.06-3.07
10 Tm 0.5000 0.5000 0.0000  6 Te 3.03-3.04
11 Te 0.0012 0.7485 0.0023  3 Tm 3.04-3.05, 2 Ho 3.07, 1 Dy 3.09
12 Tm 0.1674 0.8332 0.3348  6 Te 3.03-3.05

## Properties
total magnetization	0.00	μB per atom
formation energy (no corrections)	-1.22	eV per atom
calculated volume	28.56	Å³ per atom